1.
Compound: CaYHo14
Source: Alexandria
Functional: PBE
Structure: relaxed

The value obtained for the energy relative to the elements is 0.0255 eV per atom. For the energy, the calculation gives -4.5092 eV/atom. As for the volume: 31.9 Å³/atom.

a b c (Å): 11.243 7.235 7.235
angles (deg): 59.99 90.00 90.00
Fractional coordinates of all 16 atoms:
1 Ca 0.000 0.000 0.000
2 Y 0.000 0.499 0.499
3 Ho 0.000 0.001 0.499
4 Ho 0.000 0.499 0.001
5 Ho 0.248 0.333 0.333
6 Ho 0.253 0.831 0.831
7 Ho 0.255 0.337 0.831
8 Ho 0.255 0.831 0.337
9 Ho 0.500 0.000 0.000
10 Ho 0.500 0.500 0.500
11 Ho 0.500 0.500 0.999
12 Ho 0.500 0.999 0.500
13 Ho 0.745 0.337 0.831
14 Ho 0.745 0.831 0.337
15 Ho 0.747 0.831 0.831
16 Ho 0.752 0.333 0.333

=====

2.
Compound: U2PdSe5
Source: Alexandria
Functional: PBE
Structure: relaxed

The value obtained for the relative energy among the computed polymorphs is 0 meV/atom. For the energy, the calculation gives -6.5325 eV/atom. The calculation puts the raw formation energy at -884 meV per atom. As for the volume: 22.6 Å³/atom.

a b c (Å): 7.884 11.879 3.857
angles (deg): 90.00 90.00 90.00
Fractional coordinates of all 16 atoms:
1 U 0.009 0.181 0.000
2 U 0.491 0.681 0.000
3 U 0.509 0.319 0.000
4 U 0.991 0.819 0.000
5 Pd 0.000 0.500 0.500
6 Pd 0.500 0.000 0.500
7 Se 0.000 0.000 0.500
8 Se 0.152 0.405 0.000
9 Se 0.201 0.699 0.500
10 Se 0.299 0.199 0.500
11 Se 0.348 0.905 0.000
12 Se 0.500 0.500 0.500
13 Se 0.652 0.095 0.000
14 Se 0.701 0.801 0.500
15 Se 0.799 0.301 0.500
16 Se 0.848 0.595 0.000

=====

3.
Compound: SmUCl6
Source: Alexandria
Functional: PBE
Structure: relaxed

For the energy, the calculation gives -5.3266 eV/atom. The calculation puts the raw formation energy at -1941 meV per atom. As for the volume: 32.8 Å³/atom.

a b c (Å): 7.489 7.489 7.489
angles (deg): 54.98 54.98 54.98
Fractional coordinates of all 8 atoms:
1 Sm 0.000 0.000 0.000
2 U 0.500 0.500 0.500
3 Cl 0.101 0.752 0.395
4 Cl 0.248 0.605 0.899
5 Cl 0.395 0.101 0.752
6 Cl 0.605 0.899 0.248
7 Cl 0.752 0.395 0.101
8 Cl 0.899 0.248 0.605

=====

4.
Compound: CaBePS2
Source: Alexandria
Functional: PBE
Structure: relaxed

The value obtained for the relative energy among the computed polymorphs is 0 meV/atom. For the energy, the calculation gives -4.3090 eV/atom. The calculation puts the raw formation energy at -430 meV per atom. As for the volume: 18.2 Å³/atom.

a b c (Å): 4.762 4.762 4.015
angles (deg): 90.00 90.00 90.00
Fractional coordinates of all 5 atoms:
1 Ca 0.000 0.000 0.000
2 Be 0.500 0.500 0.500
3 P 0.500 0.500 0.000
4 S 0.000 0.500 0.500
5 S 0.500 0.000 0.500